# 1
Sc4CdSb (GGA-PBEsol, relaxed); final energy = -31.9 eV/f.u.; space-group type = No. 216; formation energy (no corrections) = 3.7 kJ per mole of atoms
1.0
0.000 4.085 4.085
4.085 0.000 4.085
4.085 4.085 0.000
Sc Cd Sb
4 1 1
direct
0.125 0.125 0.125
0.125 0.125 0.626
0.125 0.626 0.125
0.626 0.125 0.125
0.500 0.500 0.500
0.750 0.750 0.750

# 2
Hg3S2Cl2 (GGA-PBEsol, relaxed); final energy = -17.3 eV/f.u.; space-group type = No. 199; offset from the most stable computed form = 0.0000 eV/atom; formation energy (no corrections) = -38.2 kJ per mole of atoms
1.0
-4.463 4.463 4.463
4.463 -4.463 4.463
4.463 4.463 -4.463
Hg S Cl
6 4 4
direct
0.194 0.750 0.944
0.250 0.556 0.306
0.306 0.250 0.556
0.556 0.306 0.250
0.750 0.944 0.194
0.944 0.194 0.750
0.000 0.965 0.500
0.500 0.000 0.965
0.535 0.535 0.535
0.965 0.500 0.000
0.000 0.480 0.500
0.020 0.020 0.020
0.480 0.500 0.000
0.500 0.000 0.480

# 3
RbBi2 (GGA-PBEsol, relaxed); final energy = -10.6 eV/f.u.; space-group type = No. 227; formation energy = -0.34 eV per atom
1.0
0.000 4.767 4.767
4.767 0.000 4.767
4.767 4.767 0.000
Rb Bi
2 4
direct
0.125 0.125 0.125
0.875 0.875 0.875
0.000 0.500 0.500
0.500 0.000 0.500
0.500 0.500 0.000
0.500 0.500 0.500

# 4
KTlPb3 (GGA-PBEsol, relaxed); final energy = -11.5 eV/f.u.; space-group type = No. 221; formation energy = 0.86 eV per atom
1.0
5.841 0.000 0.000
0.000 5.841 0.000
0.000 0.000 5.841
K Tl Pb
1 1 3
direct
0.000 0.000 0.000
0.500 0.500 0.500
0.000 0.000 0.500
0.000 0.500 0.000
0.500 0.000 0.000

Among the records above, which one has the lowest final energy? Sc4CdSb

Look up the final energy of the second one. -17.3 eV/f.u.

The lowest final energy belongs to which entry? Sc4CdSb

Which of these has the highest final energy? RbBi2